Here is a relaxed structure of HfFeBPd from OQMD. Energies are from PBE.

Values from the calculation:
density = 11.02 Mg/m³
SG = F-43m, No. 216
calculated total energy = -7.372 eV per atom
V = 13.2 Å³ per atom
magnetic moment = 0.249 μB/atom
E above lowest polymorph = 0.011 eV per atom

```
HfFeBPd
1.0
0.0000 2.9808 2.9808
2.9808 0.0000 2.9808
2.9808 2.9808 0.0000
Hf Fe B Pd
1 1 1 1
direct
0.0000 0.0000 0.0000
0.7500 0.7500 0.7500
0.5000 0.5000 0.5000
0.2500 0.2500 0.2500
```